1.
Density functional theory data (PBE) for a relaxed structure of BeCu2P.

ΔH_f (0 K) in eV per formula unit: 0.80
Symmetry: No. 99
Calculated total energy in eV for the cell shown: -16.53
Excess energy over the best structure of this formula in the dataset in meV/atom: 158

abc: 2.5223 2.5223 7.3659
angles: 90.00 90.00 90.00
Closest atoms and distances in Å follow each position.
Sites, in units of the cell vectors:
Cu 0.5000 0.5000 0.2343  8 Cu 2.52-2.61, 4 P 2.76
Cu 0.0000 0.0000 0.9758  4 Be 2.34, 8 Cu 2.52-2.61
P 0.0000 0.0000 0.5205  4 P 2.52, 4 Be 2.56, 4 Cu 2.76
Be 0.5000 0.5000 0.7695  4 Cu 2.34, 4 Be 2.52, 4 P 2.56


2.
Density functional theory data (PBE) for a relaxed structure of Hf6TcRh5.

ΔH_f (0 K) in eV per formula unit: -10.14
Symmetry: No. 10
Calculated total energy in eV for the cell shown: -116.98

abc: 4.6217 6.5283 7.2771
angles: 90.00 107.97 90.00
Closest atoms and distances in Å follow each position.
Sites, in units of the cell vectors:
Rh 0.6659 0.0000 0.3354  8 Hf 2.83-2.84
Rh 0.6654 0.5000 0.3333  8 Hf 2.82-2.83
Rh 0.3341 0.0000 0.6646  8 Hf 2.83-2.84
Rh 0.3346 0.5000 0.6667  8 Hf 2.82-2.83
Rh 0.0000 0.5000 0.0000  8 Hf 2.81-2.83
Hf 0.1651 0.2506 0.3315  7 Rh 2.81-2.84, 1 Tc 2.82
Hf 0.5000 0.2489 0.0000  2 Tc 2.82, 6 Rh 2.83
Hf 0.5000 0.7511 0.0000  2 Tc 2.82, 6 Rh 2.83
Hf 0.1651 0.7494 0.3315  7 Rh 2.81-2.84, 1 Tc 2.82
Hf 0.8349 0.2506 0.6685  7 Rh 2.81-2.84, 1 Tc 2.82
Hf 0.8349 0.7494 0.6685  7 Rh 2.81-2.84, 1 Tc 2.82
Tc 0.0000 0.0000 0.0000  8 Hf 2.82


3.
Density functional theory data (PBE) for a relaxed structure of KCo2AsRh.

ΔH_f (0 K) in eV per formula unit: 11.27
Symmetry: No. 123
Calculated total energy in eV for the cell shown: -16.04

abc: 4.4405 4.8240 4.4405
angles: 90.00 90.00 90.00
Closest atoms and distances in Å follow each position.
Sites, in units of the cell vectors:
Co 0.0000 0.0000 0.5000  2 K 2.22
Co 0.5000 0.0000 0.0000  2 K 2.22
K 0.0000 0.0000 0.0000  4 Co 2.22, 2 Rh 2.41
Rh 0.0000 0.5000 0.0000  2 K 2.41
As 0.5000 0.5000 0.5000  4 Rh 3.14, 8 Co 3.28


4.
Density functional theory data (PBE) for a relaxed structure of Cs4Mg3InBr12.

Symmetry: No. 229
Calculated total energy in eV for the cell shown: -60.50
Formation energy without anion corrections in eV per atom: -1.474

abc: 9.5931 9.5931 9.5931
angles: 109.47 109.47 109.47
Closest atoms and distances in Å follow each position.
Sites, in units of the cell vectors:
Br 0.2500 0.5000 0.7500  2 Mg 2.77
Br 0.2596 0.0000 0.2596  1 Mg 2.66, 1 In 2.88
Br 0.7404 0.7404 0.0000  1 Mg 2.66, 1 In 2.88
Br 0.2500 0.7500 0.5000  2 Mg 2.77
Br 0.5000 0.7500 0.2500  2 Mg 2.77
Br 0.5000 0.2500 0.7500  2 Mg 2.77
Br 0.0000 0.7404 0.7404  1 Mg 2.66, 1 In 2.88
Br 0.0000 0.2596 0.2596  1 Mg 2.66, 1 In 2.88
Br 0.7500 0.2500 0.5000  2 Mg 2.77
Br 0.7404 0.0000 0.7404  1 Mg 2.66, 1 In 2.88
Br 0.7500 0.5000 0.2500  2 Mg 2.77
Br 0.2596 0.2596 0.0000  1 Mg 2.66, 1 In 2.88
Cs 0.5000 0.0000 0.0000  12 Br 3.92
Cs 0.5000 0.5000 0.5000  12 Br 3.92
Cs 0.0000 0.0000 0.5000  12 Br 3.92
Cs 0.0000 0.5000 0.0000  12 Br 3.92
Mg 0.5000 0.0000 0.5000  6 Br 2.66-2.77
Mg 0.5000 0.5000 0.0000  6 Br 2.66-2.77
Mg 0.0000 0.5000 0.5000  6 Br 2.66-2.77
In 0.0000 0.0000 0.0000  6 Br 2.88


5.
Density functional theory data (PBE) for a relaxed structure of Dy2ErTh.

ΔH_f (0 K) in eV per formula unit: 0.15
Symmetry: No. 123
Calculated total energy in eV for the cell shown: -21.04
Excess energy over the best structure of this formula in the dataset in meV/atom: 12

abc: 5.0236 4.9966 4.9966
angles: 90.00 90.00 90.00
Closest atoms and distances in Å follow each position.
Sites, in units of the cell vectors:
Er 0.5000 0.0000 0.0000  4 Th 3.53, 8 Dy 3.54
Dy 0.0000 0.5000 0.0000  4 Dy 3.53, 4 Th 3.54, 4 Er 3.54
Dy 0.0000 0.0000 0.5000  4 Dy 3.53, 4 Th 3.54, 4 Er 3.54
Th 0.5000 0.5000 0.5000  4 Er 3.53, 8 Dy 3.54


6.
Density functional theory data (PBE) for a relaxed structure of La4YTm2.

ΔH_f (0 K) in eV per formula unit: 0.49
Symmetry: No. 43
Calculated total energy in eV for the cell shown: -69.25
Excess energy over the best structure of this formula in the dataset in meV/atom: 0

abc: 12.7333 12.7333 6.8606
angles: 97.00 97.00 150.30
Closest atoms and distances in Å follow each position.
Sites, in units of the cell vectors:
La 0.1429 0.0370 0.0982  4 La 3.40-3.74, 4 Tm 3.48-3.71, 2 Y 3.75-3.77
La 0.1731 0.7111 0.3582  5 La 3.40-3.68, 2 Tm 3.60-3.64, 2 Y 3.65-3.68
La 0.6028 0.5648 0.6411  5 La 3.40-3.68, 2 Tm 3.59-3.64, 2 Y 3.65-3.68
La 0.5648 0.6028 0.1411  5 La 3.40-3.68, 2 Tm 3.59-3.64, 2 Y 3.65-3.68
La 0.7956 0.1897 0.4023  4 La 3.40-3.74, 4 Tm 3.48-3.71, 2 Y 3.75-3.77
La 0.7111 0.1731 0.8582  5 La 3.40-3.68, 2 Tm 3.60-3.64, 2 Y 3.65-3.68
La 0.0370 0.1429 0.5982  4 La 3.40-3.74, 4 Tm 3.48-3.71, 2 Y 3.75-3.77
La 0.1897 0.7956 0.9023  4 La 3.40-3.74, 4 Tm 3.48-3.71, 2 Y 3.75-3.77
Y 0.4185 0.6685 0.5005  4 Tm 3.48-3.62, 8 La 3.65-3.77
Y 0.6685 0.4185 0.0005  4 Tm 3.48-3.62, 8 La 3.65-3.77
Tm 0.9196 0.1046 0.0459  2 Y 3.48-3.62, 6 La 3.48-3.71, 2 Tm 3.67-3.68
Tm 0.6240 0.3091 0.4552  2 Y 3.48-3.62, 6 La 3.48-3.71, 2 Tm 3.67-3.68
Tm 0.1046 0.9196 0.5459  2 Y 3.48-3.62, 6 La 3.48-3.71, 2 Tm 3.67-3.68
Tm 0.3090 0.6240 0.9552  2 Y 3.48-3.62, 6 La 3.48-3.71, 2 Tm 3.67-3.68


7.
Density functional theory data (PBE) for a relaxed structure of AgSeS2O8.

Symmetry: No. 12
Calculated total energy in eV for the cell shown: -64.50
Formation energy without anion corrections in eV per atom: -0.854

abc: 5.4176 5.4176 7.7535
angles: 103.13 103.13 57.08
Closest atoms and distances in Å follow each position.
Sites, in units of the cell vectors:
O 0.7163 0.7163 0.0652  1 S 1.44
O 0.7525 0.7525 0.3941  1 S 1.46
O 0.3139 0.7877 0.2070  1 S 1.56
O 0.2123 0.6861 0.7930  1 S 1.56
O 0.2475 0.2475 0.6059  1 S 1.46
O 0.6861 0.2123 0.7930  1 S 1.56
O 0.7877 0.3139 0.2070  1 S 1.56
O 0.2837 0.2837 0.9348  1 S 1.44
Ag 0.0000 0.0000 0.5000  2 O 2.29
Se 0.0000 0.0000 0.0000  4 O 2.07
S 0.3464 0.3464 0.7843  4 O 1.44-1.56
S 0.6536 0.6536 0.2157  4 O 1.44-1.56


8.
Density functional theory data (PBE) for a relaxed structure of TbCrB14.

ΔH_f (0 K) in eV per formula unit: -2.60
Symmetry: No. 74
Calculated total energy in eV for the cell shown: -220.68

abc: 5.8533 7.3562 7.3562
angles: 67.86 66.56 66.56
Closest atoms and distances in Å follow each position.
Sites, in units of the cell vectors:
B 0.8265 0.3735 0.4700  6 B 1.71-1.85
B 0.3715 0.9976 0.2594  3 B 1.70-1.71
B 0.5971 0.4017 0.7243  6 B 1.80-1.87
B 0.6735 0.0300 0.1265  6 B 1.71-1.85
B 0.9029 0.7757 0.0983  6 B 1.80-1.87
B 0.4162 0.7543 0.4132  6 B 1.70-1.88
B 0.5838 0.2457 0.5868  6 B 1.70-1.88
B 0.8329 0.1982 0.1360  6 B 1.78-1.88
B 0.3301 0.3735 0.4700  6 B 1.71-1.85
B 0.4029 0.5983 0.2757  6 B 1.80-1.87
B 0.8715 0.7594 0.4976  3 B 1.70-1.71
B 0.1735 0.6265 0.5300  6 B 1.71-1.85
B 0.1699 0.0300 0.1265  6 B 1.71-1.85
B 0.9162 0.9132 0.2543  6 B 1.70-1.88
B 0.3265 0.9700 0.8735  6 B 1.71-1.85
B 0.1671 0.8018 0.8640  6 B 1.78-1.88
B 0.1285 0.2406 0.5024  3 B 1.70-1.71
B 0.8301 0.9700 0.8735  6 B 1.71-1.85
B 0.6699 0.6265 0.5300  6 B 1.71-1.85
B 0.3329 0.6360 0.6982  6 B 1.78-1.88
B 0.2770 0.4017 0.7243  6 B 1.80-1.87
B 0.2230 0.7757 0.0983  6 B 1.80-1.87
B 0.0838 0.0868 0.7457  6 B 1.70-1.88
B 0.7770 0.2243 0.9017  6 B 1.80-1.87
B 0.6285 0.0024 0.7406  3 B 1.70-1.71
B 0.6671 0.3640 0.3018  6 B 1.78-1.88
B 0.0971 0.2243 0.9017  6 B 1.80-1.87
B 0.7230 0.5983 0.2757  6 B 1.80-1.87
Cr 0.5000 0.0000 0.5000  8 B 2.19-2.40
Cr 0.0000 0.0000 0.5000  8 B 2.19-2.40
Tb 0.7500 0.6221 0.8779  6 B 2.49-2.77
Tb 0.2500 0.3779 0.1221  6 B 2.49-2.77


- The highest calculated total energy belongs to which entry?
  KCo2AsRh


- Look up the calculated total energy of the sixth one.
  -69.25 eV for the cell shown


- Which of these has the lowest calculated total energy?
  TbCrB14